Record 1
DFT (PBE) results for a relaxed structure of RbGa3B4O12.

Unit cell a=9.6369 b=9.6369 c=8.0151 alpha=90.00 beta=90.00 gamma=120.00
Space group R32 (No. 155, hexagonal axes)
One atom of each set of equivalent atoms:
Rb  0.0000  0.0000  0.0000 x3
Ga  0.0000  0.5567  0.0000 x9
B  0.0000  0.0000  0.5000 x3
B  0.0000  0.4452  0.5000 x9
O  0.0000  0.5908  0.5000 x9
O  0.0000  0.8552  0.5000 x9
O  0.0258  0.2234  0.2085 x18

- E: -403.1 eV for the cell shown
- Magnetic moment: 2.040 μB per formula unit
- E_form (uncorrected): -1.90 eV/atom

Record 2
DFT (PBE) results for a relaxed structure of Ga2BSbO.

Unit cell a=5.3972 b=5.3972 c=4.3238 alpha=90.00 beta=90.00 gamma=90.00
Space group P4/mmm (No. 123)
One atom of each set of equivalent atoms:
Ga  0.0000  0.5000  0.0000 x2
B  0.0000  0.0000  0.5000 x1
Sb  0.0000  0.0000  0.0000 x1
O  0.5000  0.5000  0.5000 x1

- E: -15.1 eV for the cell shown
- Magnetic moment: 0.000 μB per formula unit
- E_form (uncorrected): 1.34 eV/atom

Record 3
DFT (PBE) results for a relaxed structure of ScGa2BO6.

Unit cell a=10.3400 b=8.1309 c=5.8463 alpha=90.00 beta=115.94 gamma=90.00
Space group C2/c (No. 15)
One atom of each set of equivalent atoms:
Sc  0.0000  0.1805  0.2500 x4
Ga  0.1966  0.4348  0.1494 x8
B  0.0000  0.1691  0.7500 x4
O  0.0776  0.2600  0.9858 x8
O  0.1025  0.0605  0.7010 x8
O  0.1524  0.3930  0.4228 x8

- E: -288.1 eV for the cell shown
- Magnetic moment: 0.000 μB per formula unit
- E_form (uncorrected): -2.32 eV/atom

Record 4
DFT (PBE) results for a relaxed structure of SmGa4B3O12.

Unit cell a=7.1094 b=7.1094 c=7.1094 alpha=90.00 beta=90.00 gamma=90.00
Space group Im-3 (No. 204)
One atom of each set of equivalent atoms:
Sm  0.0000  0.0000  0.0000 x2
Ga  0.2500  0.2500  0.2500 x8
B  0.0000  0.0000  0.5000 x6
O  0.0000  0.1557  0.3340 x24

- E: -258.4 eV for the cell shown
- Magnetic moment: 0.000 μB per formula unit
- E_form (uncorrected): -1.64 eV/atom

Record 5
DFT (PBE) results for a relaxed structure of SmGa3B4O12.

Unit cell a=9.5787 b=9.5787 c=7.5878 alpha=90.00 beta=90.00 gamma=120.00
Space group R32 (No. 155, hexagonal axes)
One atom of each set of equivalent atoms:
Sm  0.0000  0.0000  0.0000 x3
Ga  0.0000  0.5505  0.0000 x9
B  0.0000  0.0000  0.5000 x3
B  0.0000  0.4463  0.5000 x9
O  0.0000  0.5915  0.5000 x9
O  0.0000  0.8548  0.5000 x9
O  0.0263  0.2130  0.1855 x18

- E: -441.6 eV for the cell shown
- Magnetic moment: 0.000 μB per formula unit
- E_form (uncorrected): -2.36 eV/atom

Record 6
DFT (PBE) results for a relaxed structure of GaSnB2O.

Unit cell a=3.7730 b=3.7730 c=6.5483 alpha=90.00 beta=90.00 gamma=90.00
Space group P4/mmm (No. 123)
One atom of each set of equivalent atoms:
Ga  0.0000  0.0000  0.0000 x1
Sn  0.0000  0.0000  0.5000 x1
B  0.0000  0.5000  0.0000 x2
O  0.5000  0.5000  0.5000 x1

- E: -19.2 eV for the cell shown
- Magnetic moment: 0.000 μB per formula unit
- E_form (uncorrected): 1.23 eV/atom

Record 7
DFT (PBE) results for a relaxed structure of Sr3GaB2O8.

Unit cell a=5.2499 b=5.2499 c=6.8127 alpha=90.00 beta=90.00 gamma=120.00
Space group P-3m1 (No. 164)
One atom of each set of equivalent atoms:
Sr  0.0000  0.0000  0.0000 x1
Sr  0.3333  0.6667  0.6793 x2
Ga  0.0000  0.0000  0.5000 x1
B  0.3333  0.6667  0.2477 x2
O  0.1761  0.3522  0.3210 x6
O  0.3333  0.6667  0.0365 x2

- E: -95.2 eV for the cell shown
- Magnetic moment: 1.058 μB per formula unit
- E_form (uncorrected): -2.44 eV/atom

Record 8
DFT (PBE) results for a relaxed structure of SrGaBO4.

Unit cell a=9.1075 b=15.5935 c=5.9893 alpha=90.00 beta=90.00 gamma=90.00
Space group P2_12_12 (No. 18)
One atom of each set of equivalent atoms:
Sr  0.0738  0.1210  0.4989 x4
Sr  0.2149  0.9797  0.0010 x4
Ga  0.0361  0.6541  0.2504 x4
Ga  0.0363  0.6548  0.7489 x4
B  0.0187  0.1865  0.0004 x4
B  0.2083  0.4241  0.5002 x4
O  0.0113  0.2292  0.7962 x4
O  0.0131  0.2301  0.2035 x4
O  0.0291  0.0986  0.0019 x4
O  0.1201  0.6078  0.9993 x4
O  0.1439  0.4017  0.7029 x4
O  0.1435  0.4030  0.2968 x4
O  0.1531  0.6465  0.4996 x4
O  0.1603  0.9674  0.4990 x4

- E: -389.9 eV for the cell shown
- Magnetic moment: 0.000 μB per formula unit
- E_form (uncorrected): -2.50 eV/atom

Record 9
DFT (PBE) results for a relaxed structure of SrGa2BO6.

Unit cell a=11.0084 b=9.0767 c=6.2057 alpha=90.00 beta=122.18 gamma=90.00
Space group C2/c (No. 15)
One atom of each set of equivalent atoms:
Sr  0.0000  0.1911  0.2500 x4
Ga  0.2049  0.4295  0.1162 x8
B  0.0000  0.1770  0.7500 x4
O  0.0915  0.0837  0.6949 x8
O  0.1012  0.2568  0.9800 x8
O  0.1698  0.4275  0.3808 x8

- E: -258.9 eV for the cell shown
- Magnetic moment: 1.039 μB per formula unit
- E_form (uncorrected): -2.06 eV/atom

Record 10
DFT (PBE) results for a relaxed structure of SrGa3B4O12.

Unit cell a=9.5978 b=9.5978 c=7.7930 alpha=90.00 beta=90.00 gamma=120.00
Space group R32 (No. 155, hexagonal axes)
One atom of each set of equivalent atoms:
Sr  0.0000  0.0000  0.0000 x3
Ga  0.0000  0.5531  0.0000 x9
B  0.0000  0.0000  0.5000 x3
B  0.0000  0.4429  0.5000 x9
O  0.0000  0.5894  0.5000 x9
O  0.0000  0.8554  0.5000 x9
O  0.0284  0.2187  0.1946 x18

- E: -422.2 eV for the cell shown
- Magnetic moment: 0.997 μB per formula unit
- E_form (uncorrected): -2.19 eV/atom

Record 11
DFT (PBE) results for a relaxed structure of SrGa2B2O7.

Unit cell a=11.8713 b=8.4299 c=5.8083 alpha=90.00 beta=90.00 gamma=90.00
Space group Cmcm (No. 63)
One atom of each set of equivalent atoms:
Sr  0.0000  0.1833  0.2500 x4
Ga  0.2088  0.0836  0.7500 x8
B  0.1089  0.4046  0.7500 x8
O  0.0000  0.3398  0.7500 x4
O  0.1294  0.0000  0.0000 x8
O  0.1307  0.4345  0.2500 x8
O  0.1982  0.3036  0.7500 x8

- E: -336.6 eV for the cell shown
- Magnetic moment: 0.000 μB per formula unit
- E_form (uncorrected): -2.36 eV/atom

Record 12
DFT (PBE) results for a relaxed structure of SrGa4B3O12.

Unit cell a=7.1482 b=7.1482 c=7.1482 alpha=90.00 beta=90.00 gamma=90.00
Space group Im-3 (No. 204)
One atom of each set of equivalent atoms:
Sr  0.0000  0.0000  0.0000 x2
Ga  0.2500  0.2500  0.2500 x8
B  0.0000  0.0000  0.5000 x6
O  0.0000  0.1548  0.3381 x24

- E: -247.4 eV for the cell shown
- Magnetic moment: 1.063 μB per formula unit
- E_form (uncorrected): -1.52 eV/atom

Record 13
DFT (PBE) results for a relaxed structure of SrGaBO4.

Unit cell a=8.8648 b=16.0024 c=6.0072 alpha=90.00 beta=90.00 gamma=90.00
Space group Pccn (No. 56)
One atom of each set of equivalent atoms:
Sr  0.1067  0.1548  0.0198 x8
Ga  0.2413  0.5519  0.2154 x8
B  0.0170  0.6431  0.9568 x8
O  0.0691  0.6182  0.1655 x8
O  0.0958  0.6248  0.7619 x8
O  0.1149  0.1878  0.5621 x8
O  0.2120  0.0109  0.9679 x8

- E: -389.9 eV for the cell shown
- Magnetic moment: 0.000 μB per formula unit
- E_form (uncorrected): -2.50 eV/atom

Record 14
DFT (PBE) results for a relaxed structure of TaGaB2O.

Unit cell a=3.8274 b=3.8274 c=3.8174 alpha=90.00 beta=90.00 gamma=90.00
Space group P4/mmm (No. 123)
One atom of each set of equivalent atoms:
Ta  0.0000  0.0000  0.0000 x1
Ga  0.5000  0.5000  0.0000 x1
B  0.0000  0.5000  0.5000 x2
O  0.5000  0.5000  0.5000 x1

- E: -29.2 eV for the cell shown
- Magnetic moment: 0.000 μB per formula unit
- E_form (uncorrected): 0.81 eV/atom